# 1
# HfTi3

An optimized crystal structure of HfTi3 (GGA-PBE, the Alexandria database).

Unit cell a=4.704 b=4.704 c=4.704 alpha=60.00 beta=60.00 gamma=60.00
Sites, in units of the cell vectors:
Ti 0.000 0.000 0.000
Ti 0.250 0.250 0.250
Hf 0.500 0.500 0.500
Ti 0.750 0.750 0.750

Summary:
E_form   0.15 eV per atom
Space-group type   Fm-3m
Magnetic moment   0.0021 μB/atom
Uncorrected energy   -8.26 eV per atom

---

# 2
# Ti12Ga5Pd2

An optimized crystal structure of Ti12Ga5Pd2 (GGA-PBE, the Alexandria database).

Unit cell a=7.633 b=6.812 c=7.463 alpha=89.79 beta=90.00 gamma=124.07
Sites, in units of the cell vectors:
Ti 0.975 0.312 0.258
Ti 0.879 0.757 0.110
Ti 0.337 0.312 0.258
Ti 0.404 0.195 0.611
Pd 0.734 0.000 0.000
Ga 0.767 0.534 0.430
Ti 0.427 0.854 0.752
Ti 0.025 0.688 0.742
Ti 0.791 0.195 0.611
Ti 0.596 0.805 0.389
Ga 0.669 0.338 0.914
Pd 0.266 0.000 0.000
Ti 0.121 0.243 0.890
Ti 0.573 0.146 0.248
Ga 0.233 0.466 0.570
Ti 0.209 0.805 0.389
Ga 0.331 0.662 0.086
Ti 0.663 0.688 0.742
Ga 0.000 0.000 0.500

Summary:
E_form   -0.24 eV per atom
Space-group type   C2/m
Magnetic moment   0.0000 μB/atom
Uncorrected energy   -6.57 eV per atom